A geometry-optimized YHo4Bi5 structure. Source: Alexandria, functional PBE-GGA.

```
YHo4Bi5
1.0
-2.233 3.156 11.164
2.233 -3.156 11.164
2.233 3.156 -11.164
Y Ho Bi
1 4 5
direct
0.000 0.000 0.000
0.200 0.200 0.000
0.400 0.400 0.000
0.600 0.600 0.000
0.800 0.800 0.000
0.101 0.601 0.500
0.300 0.800 0.500
0.500 0.000 0.500
0.700 0.200 0.500
0.899 0.399 0.500
```

Results
Calculated total energy ... -5.267 eV/atom
Symmetry ... Immm (71)
V ... 314.8 Å³ per cell
Crystal system ... orthorhombic
ΔE_f ... -820 kJ/mol of formula units

=====

A geometry-optimized Tm4TlO structure. Source: Alexandria, functional PBE-GGA.

```
Tm4TlO
1.0
5.041 0.000 0.000
0.000 8.728 0.000
-0.014 0.000 6.936
Tm Tl O
8 2 2
direct
0.249 0.250 0.223
0.250 0.048 0.730
0.250 0.452 0.730
0.251 0.750 0.066
0.749 0.250 0.934
0.750 0.548 0.270
0.750 0.952 0.270
0.751 0.750 0.777
0.251 0.750 0.492
0.749 0.250 0.508
0.248 0.250 0.911
0.752 0.750 0.089
```

Results
Calculated total energy ... -5.192 eV/atom
E_form (uncorrected) ... -990 meV/atom
Symmetry ... P2_1/m (11)
V ... 305.2 Å³ per cell
Crystal system ... monoclinic

=====

A geometry-optimized BaBe2Te structure. Source: Alexandria, functional PBE-GGA.

```
BaBe2Te
1.0
3.270 -5.457 0.000
3.270 5.457 0.000
-3.214 0.000 3.317
Ba Be Te
1 2 1
direct
0.000 0.000 0.000
0.000 0.500 0.000
0.500 0.000 0.000
0.500 0.500 0.000
```

Results
Calculated total energy ... -2.486 eV/atom
E_form (uncorrected) ... 643 meV/atom
Symmetry ... C2/m (12)
V ... 118.4 Å³ per cell
Crystal system ... monoclinic